This record from Alexandria via LeMat-Bulk describes crystalline PmAlGaGe2 at its relaxed geometry. The functional is PBE-GGA.

Output
formation energy from the elements: -0.331 eV per atom
energy: -4.482 eV per atom
space-group type: C2/m
Fermi-level density of states: 3.5 states/eV per cell

Geometry as extended XYZ:
```
10
Lattice="-2.5036 -2.6324 -3.0315 3.7550 -2.9690 3.1695 -7.1379 0.9732 5.0499" Properties=species:S:1:pos:R:3 pbc="T T T"
Pm -0.2047 -2.8118 2.6107
Pm -5.6818 -1.8164 2.5772
Al -2.4932 -0.3427 2.3566
Al -3.3934 -4.2855 2.8313
Ga -1.0821 -2.4079 -0.7079
Ga -4.8044 -2.2203 5.8958
Ge -2.8853 -2.1762 4.2726
Ge -3.0012 -2.4520 0.9152
Ge -6.2005 0.0743 5.0562
Ge 0.3139 -4.7025 0.1316
```

This record from Alexandria via LeMat-Bulk describes crystalline Tb8YIn6 at its relaxed geometry. The functional is PBE-GGA.

Output
formation energy from the elements: -0.225 eV per atom
energy: -4.221 eV per atom
space-group type: R-3
Fermi-level density of states: 22.5 states/eV per cell

Geometry as extended XYZ:
```
15
Lattice="9.0600 0.0000 0.0000 4.5300 7.8462 0.0000 4.5300 2.6154 6.5050" Properties=species:S:1:pos:R:3 pbc="T T T"
Tb 7.5454 2.6183 2.2120
Tb 10.5652 2.6129 4.2929
Tb 6.0402 5.2363 4.2929
Tb 9.0600 5.2308 0.0065
Tb 9.0600 5.2308 6.4985
Tb 12.0798 5.2253 2.2120
Tb 7.5549 7.8488 2.2120
Tb 10.5747 7.8433 4.2929
Y 0.0000 0.0000 0.0000
In 7.5431 2.6152 5.3672
In 10.5667 2.6093 1.1377
In 6.0363 5.2367 1.1377
In 12.0837 5.2249 5.3672
In 7.5533 7.8524 5.3672
In 10.5770 7.8464 1.1377
```

This record from Alexandria via LeMat-Bulk describes crystalline KMg2Cd9 at its relaxed geometry. The functional is PBE-GGA.

Output
ΔE to the lowest computed polymorph: 0.0 meV/atom
formation energy from the elements: -0.093 eV per atom
energy: -1.136 eV per atom
space-group type: I4_1/amd
Fermi-level density of states: 5.1 states/eV per cell

Geometry as extended XYZ:
```
24
Lattice="7.1820 0.0000 3.3065 3.5910 8.6253 1.6532 -0.0160 0.0000 9.4881" Properties=species:S:1:pos:R:3 pbc="T T T"
K 3.5910 0.0000 1.6532
K 3.5830 4.3126 6.3973
Mg 7.1700 2.1563 10.4225
Mg 8.9735 6.4690 6.5051
Mg 7.1780 2.1563 5.6785
Mg 5.3745 6.4690 9.5959
Cd 7.1740 4.3126 8.0505
Cd 0.0000 0.0000 0.0000
Cd 3.3592 7.8863 7.9265
Cd 4.5993 0.7390 5.2328
Cd 5.4657 1.4827 8.0776
Cd 6.0838 7.1426 6.7350
Cd 8.2642 7.1426 9.3660
Cd 1.7003 1.4827 4.7169
Cd 3.8068 7.8863 4.8680
Cd 2.5667 0.7390 7.5617
Cd 7.3898 5.0517 11.2652
Cd 2.5747 3.5736 2.8176
Cd 1.6923 2.8299 9.4610
Cd 4.6812 5.7954 2.9687
Cd 2.4848 5.7954 9.8258
Cd 5.4737 2.8299 3.3336
Cd 6.9582 5.0517 4.8357
Cd 4.5913 3.5736 9.9769
```

This record from Alexandria via LeMat-Bulk describes crystalline Pm3PuSc2Se6 at its relaxed geometry. The functional is PBE-GGA.

Output
energy: -6.878 eV per atom
space-group type: C2/m
energy relative to the elements, uncorrected: -20.38 eV/f.u.
Fermi-level density of states: 13.8 states/eV per cell

Geometry as extended XYZ:
```
12
Lattice="7.0365 -0.0036 -0.0020 -3.5196 6.0930 -0.0020 -1.1752 -2.0348 6.7311" Properties=species:S:1:pos:R:3 pbc="T T T"
Pm -2.3968 4.0877 3.3635
Pm 4.7385 -0.0332 3.3635
Pm 1.1708 2.0273 3.3635
Pu 0.0000 0.0000 0.0000
Sc -0.0141 4.0684 -0.0020
Sc 3.5309 2.0210 -0.0020
Se 3.5568 1.9545 5.1579
Se 2.3009 3.9841 1.5251
Se -1.2152 2.1001 1.5692
Se -0.0847 4.0576 5.1579
Se 0.0407 0.0705 5.2020
Se 2.4263 -0.0030 1.5692
```

This record from Alexandria via LeMat-Bulk describes crystalline LaAlAu4 at its relaxed geometry. The functional is PBE-GGA.

Output
ΔE to the lowest computed polymorph: 508.2 meV/atom
formation energy from the elements: -0.050 eV per atom
energy: -3.680 eV per atom
space-group type: P4/mmm
Fermi-level density of states: 5.1 states/eV per cell

Geometry as extended XYZ:
```
6
Lattice="-1.8566 1.2048 -4.1358 0.9610 -4.2742 -1.6765 -6.6212 -2.3823 2.2783" Properties=species:S:1:pos:R:3 pbc="T T T"
La 0.0000 0.0000 0.0000
Al -3.7584 -2.7259 -1.7669
Au -5.9057 -3.4985 -1.0281
Au -1.6111 -1.9533 -2.5058
Au -4.2389 -0.5888 -0.9287
Au -2.8301 -3.3282 0.3009
```

This record from Alexandria via LeMat-Bulk describes crystalline Ag2GeTe4As at its relaxed geometry. The functional is PBE-GGA.

Output
energy: -3.472 eV per atom
space-group type: P2/m
energy relative to the elements, uncorrected: -0.24 eV/f.u.
Fermi-level density of states: 3.1 states/eV per cell

Geometry as extended XYZ:
```
8
Lattice="4.1928 0.0000 0.0000 0.0000 7.1909 0.0834 0.0000 -2.5510 6.8082" Properties=species:S:1:pos:R:3 pbc="T T T"
Ag 2.0964 -1.2755 3.4041
Ag 0.0000 2.3199 3.4458
Ge 0.0000 0.0000 0.0000
Te 2.0964 1.1711 1.7028
Te 2.0964 3.4687 5.1888
Te 0.0000 -0.1113 5.1619
Te 0.0000 4.7512 1.7297
As 2.0964 3.5954 0.0417
```

This record from Alexandria via LeMat-Bulk describes crystalline HfAsPd2Se at its relaxed geometry. The functional is PBE-GGA.

Output
energy: -5.636 eV per atom
space-group type: P4/mmm
energy relative to the elements, uncorrected: 0.29 eV/f.u.
Fermi-level density of states: 4.2 states/eV per cell

Geometry as extended XYZ:
```
5
Lattice="-2.7335 3.2123 -1.8898 -3.9312 -3.2443 0.1717 -1.0941 1.5487 4.2150" Properties=species:S:1:pos:R:3 pbc="T T T"
As 0.0000 0.0000 0.0000
Hf -1.9656 -1.6222 0.0858
Se -3.8794 0.7583 1.2484
Pd -0.5470 0.7744 2.1075
Pd -1.3668 1.6061 -0.9449
```

This record from Alexandria via LeMat-Bulk describes crystalline LaOs2 at its relaxed geometry. The functional is PBE-GGA.

Output
formation energy from the elements: 1.662 eV per atom
energy: -7.467 eV per atom
space-group type: Fm-3m
Fermi-level density of states: 4.0 states/eV per cell

Geometry as extended XYZ:
```
3
Lattice="4.4867 0.0000 0.0000 2.2433 3.8856 0.0000 2.2433 1.2952 3.6633" Properties=species:S:1:pos:R:3 pbc="T T T"
La 0.0000 0.0000 0.0000
Os 6.7300 3.8856 2.7475
Os 2.2433 1.2952 0.9158
```